[1]
# PmTaBi GGA-PBE relaxed
# energy above the lowest structure with this stoichiometry	1.42	eV/f.u.
data_PmTaBi
_cell_length_a 7.297
_cell_length_b 7.297
_cell_length_c 7.297
_cell_angle_alpha 90.00
_cell_angle_beta 90.00
_cell_angle_gamma 90.00
_symmetry_space_group_name_H-M 'F -4 3 m'
_symmetry_Int_Tables_number 216
_symmetry_space_group_name_Hall 'F -4 2 3'
loop_
_atom_site_label
_atom_site_fract_x
_atom_site_fract_y
_atom_site_fract_z
_atom_site_occupancy
Pm1 0.000 0.000 0.000 1
Ta1 0.250 0.250 0.250 1
Bi1 0.250 0.250 0.750 1

=====

[2]
# Rb2CoPd2S4 GGA-PBE relaxed
# energy above the lowest structure with this stoichiometry	0.00	eV/f.u.
data_Rb2CoPd2S4
_cell_length_a 6.358
_cell_length_b 13.799
_cell_length_c 5.984
_cell_angle_alpha 90.00
_cell_angle_beta 121.94
_cell_angle_gamma 90.00
_symmetry_space_group_name_H-M 'C 1 2/m 1'
_symmetry_Int_Tables_number 12
loop_
_symmetry_equiv_pos_as_xyz
'x,y,z'
'-x,-y,-z'
'-x,y,-z'
'x,-y,z'
'x+1/2,y+1/2,z'
'-x+1/2,-y+1/2,-z'
'-x+1/2,y+1/2,-z'
'x+1/2,-y+1/2,z'
loop_
_atom_site_label
_atom_site_fract_x
_atom_site_fract_y
_atom_site_fract_z
_atom_site_occupancy
Rb1 0.000 0.159 0.000 1
Co1 0.000 0.500 0.000 1
Pd1 0.000 0.000 0.500 1
Pd2 0.000 0.500 0.500 1
S1 0.161 0.390 0.321 1

=====

[3]
# NdAsPd GGA-PBE relaxed
# E	-34.20	eV for the cell shown
data_NdAsPd
_cell_length_a 5.0584
_cell_length_b 5.0584
_cell_length_c 5.9246
_cell_angle_alpha 90.00
_cell_angle_beta 90.00
_cell_angle_gamma 120.00
_symmetry_space_group_name_H-M 'P 63/m m c'
_symmetry_Int_Tables_number 194
_symmetry_space_group_name_Hall '-P 6c 2c'
loop_
_atom_site_label
_atom_site_fract_x
_atom_site_fract_y
_atom_site_fract_z
_atom_site_occupancy
Nd1 0.3333 0.6667 0.2500 1
As1 0.3333 0.6667 0.7500 1
Pd1 0.0000 0.0000 0.0000 1

=====

[4]
# Tb3NdSi4 GGA-PBE relaxed
# E	-46.81	eV for the cell shown
data_Tb3NdSi4
_cell_length_a 5.780
_cell_length_b 3.874
_cell_length_c 8.034
_cell_angle_alpha 90.00
_cell_angle_beta 90.18
_cell_angle_gamma 90.00
_symmetry_space_group_name_H-M 'P 1 m 1'
_symmetry_Int_Tables_number 6
loop_
_symmetry_equiv_pos_as_xyz
'x,y,z'
'x,-y,z'
loop_
_atom_site_label
_atom_site_fract_x
_atom_site_fract_y
_atom_site_fract_z
_atom_site_occupancy
Tb1 0.000 0.000 0.000 1
Tb2 0.229 0.500 0.642 1
Tb3 0.499 0.500 0.140 1
Nd1 0.729 0.000 0.500 1
Si1 0.241 0.000 0.355 1
Si2 0.486 0.000 0.860 1
Si3 0.741 0.500 0.788 1
Si4 0.991 0.500 0.279 1

=====

[5]
# Y2BiSbPd2 GGA-PBE relaxed
# E	-150.78	eV for the cell shown
data_Y2BiSbPd2
_cell_length_a 11.532
_cell_length_b 4.708
_cell_length_c 11.533
_cell_angle_alpha 90.00
_cell_angle_beta 109.48
_cell_angle_gamma 90.00
_symmetry_space_group_name_H-M 'P 1 m 1'
_symmetry_Int_Tables_number 6
loop_
_symmetry_equiv_pos_as_xyz
'x,y,z'
'x,-y,z'
loop_
_atom_site_label
_atom_site_fract_x
_atom_site_fract_y
_atom_site_fract_z
_atom_site_occupancy
Y1 0.000 0.000 0.000 1
Y2 0.122 0.500 0.375 1
Y3 0.246 0.000 0.747 1
Y4 0.375 0.500 0.129 1
Y5 0.500 0.000 0.500 1
Y6 0.625 0.500 0.872 1
Y7 0.749 0.000 0.252 1
Y8 0.872 0.500 0.624 1
Bi1 0.123 0.500 0.875 1
Bi2 0.373 0.500 0.624 1
Bi3 0.499 0.000 0.001 1
Bi4 0.874 0.500 0.125 1
Sb1 0.249 0.000 0.250 1
Sb2 0.624 0.500 0.375 1
Sb3 0.749 0.000 0.749 1
Sb4 0.998 0.000 0.499 1
Pd1 0.129 0.500 0.130 1
Pd2 0.244 0.000 0.495 1
Pd3 0.373 0.500 0.875 1
Pd4 0.499 0.000 0.255 1
Pd5 0.628 0.500 0.624 1
Pd6 0.749 0.000 0.995 1
Pd7 0.873 0.500 0.379 1
Pd8 0.993 0.000 0.745 1

=====

[6]
# LiLaNiGe GGA-PBE relaxed
# energy above the lowest structure with this stoichiometry	0.91	eV/f.u.
data_LiLaNiGe
_cell_length_a 6.826
_cell_length_b 6.826
_cell_length_c 6.826
_cell_angle_alpha 90.00
_cell_angle_beta 90.00
_cell_angle_gamma 90.00
_symmetry_space_group_name_H-M 'F -4 3 m'
_symmetry_Int_Tables_number 216
_symmetry_space_group_name_Hall 'F -4 2 3'
loop_
_atom_site_label
_atom_site_fract_x
_atom_site_fract_y
_atom_site_fract_z
_atom_site_occupancy
Li1 0.000 0.000 0.000 1
La1 0.000 0.000 0.500 1
Ni1 0.250 0.250 0.250 1
Ge1 0.250 0.250 0.750 1

=====

[7]
# Cu GGA-PBE relaxed
# E_form	0.16	eV per formula unit
# energy above the lowest structure with this stoichiometry	0.16	eV/f.u.
data_Cu
_cell_length_a 8.004
_cell_length_b 3.529
_cell_length_c 26.369
_cell_angle_alpha 90.00
_cell_angle_beta 90.43
_cell_angle_gamma 90.00
_symmetry_space_group_name_H-M 'C 1 2/m 1'
_symmetry_Int_Tables_number 12
loop_
_symmetry_equiv_pos_as_xyz
'x,y,z'
'-x,-y,-z'
'-x,y,-z'
'x,-y,z'
'x+1/2,y+1/2,z'
'-x+1/2,-y+1/2,-z'
'-x+1/2,y+1/2,-z'
'x+1/2,-y+1/2,z'
loop_
_atom_site_label
_atom_site_fract_x
_atom_site_fract_y
_atom_site_fract_z
_atom_site_occupancy
Cu1 0.049 0.000 0.204 1
Cu2 0.050 0.000 0.891 1
Cu3 0.050 0.500 0.047 1
Cu4 0.055 0.500 0.739 1
Cu5 0.148 0.500 0.140 1
Cu6 0.150 0.000 0.985 1
Cu7 0.153 0.500 0.829 1
Cu8 0.247 0.500 0.234 1
Cu9 0.250 0.000 0.078 1

=====

[8]
# SmBNO GGA-PBE relaxed
# energy above the lowest structure with this stoichiometry	4.14	eV/f.u.
data_SmBNO
_cell_length_a 4.893
_cell_length_b 4.893
_cell_length_c 4.526
_cell_angle_alpha 90.00
_cell_angle_beta 90.00
_cell_angle_gamma 90.00
_symmetry_space_group_name_H-M 'P 4/n m m'
_symmetry_Int_Tables_number 129
loop_
_symmetry_equiv_pos_as_xyz
'x,y,z'
'-x,-y,-z'
'-y+1/2,x,z'
'y+1/2,-x,-z'
'-x+1/2,-y+1/2,z'
'x+1/2,y+1/2,-z'
'y,-x+1/2,z'
'-y,x+1/2,-z'
'x+1/2,-y,-z'
'-x+1/2,y,z'
'-y,-x,-z'
'y,x,z'
'-x,y+1/2,-z'
'x,-y+1/2,z'
'y+1/2,x+1/2,-z'
'-y+1/2,-x+1/2,z'
loop_
_atom_site_label
_atom_site_fract_x
_atom_site_fract_y
_atom_site_fract_z
_atom_site_occupancy
Sm1 0.250 0.750 0.000 1
B1 0.250 0.250 0.403 1
N1 0.250 0.250 0.104 1
O1 0.250 0.750 0.500 1

=====

[9]
# Hg2BiPd GGA-PBE relaxed
# E	-37.67	eV for the cell shown
data_Hg2BiPd
_cell_length_a 7.166
_cell_length_b 7.166
_cell_length_c 7.166
_cell_angle_alpha 90.00
_cell_angle_beta 90.00
_cell_angle_gamma 90.00
_symmetry_space_group_name_H-M 'F -4 3 m'
_symmetry_Int_Tables_number 216
_symmetry_space_group_name_Hall 'F -4 2 3'
loop_
_atom_site_label
_atom_site_fract_x
_atom_site_fract_y
_atom_site_fract_z
_atom_site_occupancy
Hg1 0.000 0.000 0.000 1
Hg2 0.250 0.250 0.250 1
Bi1 0.000 0.000 0.500 1
Pd1 0.250 0.250 0.750 1

=====

[10]
# RePdClF5 GGA-PBE relaxed
# E	-78.89	eV for the cell shown
data_RePdClF5
_cell_length_a 5.015
_cell_length_b 7.918
_cell_length_c 5.351
_cell_angle_alpha 90.00
_cell_angle_beta 97.28
_cell_angle_gamma 90.00
_symmetry_space_group_name_H-M 'P 1 21/m 1'
_symmetry_Int_Tables_number 11
loop_
_symmetry_equiv_pos_as_xyz
'x,y,z'
'-x,-y,-z'
'-x,y+1/2,-z'
'x,-y+1/2,z'
loop_
_atom_site_label
_atom_site_fract_x
_atom_site_fract_y
_atom_site_fract_z
_atom_site_occupancy
Re1 0.235 0.250 0.256 1
Pd1 0.122 0.750 0.477 1
Cl1 0.441 0.250 0.669 1
F1 0.012 0.750 0.045 1
F2 0.065 0.030 0.279 1
F3 0.486 0.599 0.812 1

=====

[11]
# InFeB2 GGA-PBE relaxed
# E	-71.94	eV for the cell shown
data_InFeB2
_cell_length_a 5.783
_cell_length_b 5.783
_cell_length_c 5.783
_cell_angle_alpha 90.00
_cell_angle_beta 90.00
_cell_angle_gamma 90.00
_symmetry_space_group_name_H-M 'F -4 3 m'
_symmetry_Int_Tables_number 216
_symmetry_space_group_name_Hall 'F -4 2 3'
loop_
_atom_site_label
_atom_site_fract_x
_atom_site_fract_y
_atom_site_fract_z
_atom_site_occupancy
In1 0.000 0.000 0.000 1
Fe1 0.250 0.250 0.250 1
B1 0.000 0.000 0.500 1
B2 0.250 0.250 0.750 1